# Cu2ReSe

A geometry-optimized Cu2ReSe structure (PBE, Alexandria).

Lattice parameters (Å, degrees): 3.412 3.412 4.980 90.00 90.00 90.00
Positions (direct):
Cu  0.000  0.000  0.240
Cu  0.000  0.000  0.760
Re  0.500  0.500  0.000
Se  0.500  0.500  0.500

DOS(E_F) (states/eV per atom): 0.849
Magnetization (μB/cell): 0.0
E_tot (eV per atom): -5.47
Space group: P4/mmm